VASP calculation (PBE with a Hubbard U) on a relaxed RbCrAg2F8 crystal.

The value obtained for the total magnetization is 3.00 Bohr magnetons per cell. As for the density of states at the Fermi level: 0.526 states/eV/cell. As for the total energy: -52.1 eV for the cell shown.

The structure belongs to space group P-1 (No. 2); the cell edges are 4.928, 5.412 and 7.532 Å and the angles 93.40°, 95.43° and 98.45°. The distinct sites, in fractional coordinates, are Rb at (0.000, 0.000, 0.000), Cr at (0.000, 0.000, 0.500), Ag at (0.424, 0.504, 0.757), F at (0.108, 0.799, 0.324), F at (0.173, 0.831, 0.674), F at (0.324, 0.249, 0.502) and F at (0.465, 0.725, 0.016).